{"formula": "FeIr2Pt", "functional": "PBE", "state": "optimized geometry", "lattice": [[2.726, 0.000, 0.000], [0.000, 3.846, 0.000], [0.000, 0.000, 5.463]], "species": ["Fe", "Ir", "Ir", "Pt"], "fractional_positions": [[0.000, 0.000, 0.000], [0.000, 0.000, 0.483], [0.500, 0.500, 0.249], [0.500, 0.500, 0.754]], "final_energy_ev_per_atom": -8.10, "e_form_ev_per_atom": -0.05}